Crystalline ZnHgP2 at its relaxed geometry. Source: Alexandria via LeMat-Bulk, functional PBE.

Properties
* V: 22.77 Å³/atom
* E above lowest polymorph: 0.201 eV/atom
* symmetry: P4/mmm, No. 123
* DOS(E_F): 0.253 states/eV per atom

a = 3.3432 Å, b = 3.3432 Å, c = 8.1490 Å
α = 90.00°, β = 90.00°, γ = 90.00°
Closest atoms and distances in Å follow each position.
Atoms (fractional coordinates):
Hg 0.5000 0.5000 0.7500  4 Hg 3.34
P 0.0000 0.0000 0.1172  1 P 2.16
P 0.0000 0.0000 0.3828  1 P 2.16
Zn 0.5000 0.5000 0.2500  8 P 2.60

Crystalline Zn2HgP2 at its relaxed geometry. Source: Alexandria via LeMat-Bulk, functional PBE.

Properties
* V: 18.68 Å³/atom
* E above lowest polymorph: 0.000 eV/atom
* symmetry: I4/mmm, No. 139
* DOS(E_F): 0.064 states/eV per atom

a = 4.5281 Å, b = 4.5281 Å, c = 5.5671 Å
α = 66.00°, β = 66.00°, γ = 90.00°
Closest atoms and distances in Å follow each position.
Atoms (fractional coordinates):
P 0.3773 0.3773 0.2453  1 P 2.23
P 0.6227 0.6227 0.7547  1 P 2.23
Zn 0.7500 0.2500 0.5000  4 P 2.54
Zn 0.2500 0.7500 0.5000  4 P 2.54
Hg 0.0000 0.0000 0.0000  8 Zn 3.21, 10 P 3.39-3.44

Crystalline Zn2HgP at its relaxed geometry. Source: Alexandria via LeMat-Bulk, functional PBE.

Properties
* V: 18.28 Å³/atom
* uncorrected energy: -0.0636 Ha/atom
* symmetry: Fm-3m, No. 225
* DOS(E_F): 0.676 states/eV per atom

a = 4.6939 Å, b = 4.6939 Å, c = 4.6939 Å
α = 60.00°, β = 60.00°, γ = 60.00°
Closest atoms and distances in Å follow each position.
Atoms (fractional coordinates):
P 0.0000 0.0000 0.0000  8 Zn 2.87
Zn 0.2500 0.2500 0.2500  4 Hg 2.87, 4 P 2.87
Zn 0.7500 0.7500 0.7500  4 Hg 2.87, 4 P 2.87
Hg 0.5000 0.5000 0.5000  8 Zn 2.87

Crystalline ZnHg2P at its relaxed geometry. Source: Alexandria via LeMat-Bulk, functional PBE.

Properties
* V: 24.45 Å³/atom
* E above lowest polymorph: 0.000 eV/atom
* symmetry: Cm, No. 8
* DOS(E_F): 0.182 states/eV per atom

a = 4.0575 Å, b = 4.0575 Å, c = 6.8638 Å
α = 89.15°, β = 89.15°, γ = 59.96°
Closest atoms and distances in Å follow each position.
Atoms (fractional coordinates):
Zn 0.7144 0.7144 0.3452  3 P 2.35
Hg 0.0347 0.0347 0.0267  3 Hg 2.98-3.00, 3 Zn 3.11-3.25, 2 P 3.30
Hg 0.3697 0.3697 0.7542  1 P 2.61
P 0.3812 0.3812 0.3740  3 Zn 2.35, 1 Hg 2.61

Crystalline ZnHg2P2 at its relaxed geometry. Source: Alexandria via LeMat-Bulk, functional PBE.

Properties
* V: 21.06 Å³/atom
* uncorrected energy: -0.0783 Ha/atom
* symmetry: P4/mbm, No. 127
* DOS(E_F): 0.407 states/eV per atom

a = 7.0977 Å, b = 7.0977 Å, c = 4.1799 Å
α = 90.00°, β = 90.00°, γ = 90.00°
Closest atoms and distances in Å follow each position.
Atoms (fractional coordinates):
P 0.3039 0.8039 0.0000  2 Zn 2.57, 2 Hg 2.65
P 0.8039 0.6961 0.0000  2 Zn 2.57, 2 Hg 2.65
P 0.6961 0.1961 0.0000  2 Zn 2.57, 2 Hg 2.65
P 0.1961 0.3039 0.0000  2 Zn 2.57, 2 Hg 2.65
Zn 0.0000 0.0000 0.0000  4 P 2.57
Zn 0.5000 0.5000 0.0000  4 P 2.57
Hg 0.1418 0.6418 0.5000  2 P 2.65, 1 Hg 2.85
Hg 0.6418 0.8582 0.5000  2 P 2.65, 1 Hg 2.85
Hg 0.8582 0.3582 0.5000  2 P 2.65, 1 Hg 2.85
Hg 0.3582 0.1418 0.5000  2 P 2.65, 1 Hg 2.85

Crystalline Zn2HgP at its relaxed geometry. Source: Alexandria via LeMat-Bulk, functional PBE.

Properties
* V: 19.01 Å³/atom
* uncorrected energy: -0.0710 Ha/atom
* symmetry: Imm2, No. 44
* DOS(E_F): 0.321 states/eV per atom

a = 6.6335 Å, b = 6.6335 Å, c = 6.6335 Å
α = 149.94°, β = 148.57°, γ = 44.04°
Closest atoms and distances in Å follow each position.
Atoms (fractional coordinates):
Zn 0.9297 0.9297 0.0000  2 P 2.53
Zn 0.2424 0.7424 0.5000  4 P 2.53
Hg 0.5491 0.5491 0.0000  6 Zn 2.89-2.98
P 0.7787 0.2787 0.5000  6 Zn 2.53